(1)
Entry from the Alexandria database: crystalline TbH4Pd4 at its relaxed geometry (GGA-PBE).

- V (Å³/cell) = 194
- M_tot (μB per formula unit) = 0.00

a b c (Å): 6.942 6.942 4.031
angles (deg): 90.00 90.00 90.00
Space group I4/m (No. 87)
One atom of each set of equivalent atoms:
Tb (0.000, 0.000, 0.000) (multiplicity 2)
H (0.160, 0.666, 0.000) (multiplicity 8)
Pd (0.108, 0.698, 0.500) (multiplicity 8)

=====

(2)
Entry from the Alexandria database: crystalline TbH2Pd at its relaxed geometry (GGA-PBE).

- V (Å³/cell) = 164
- relative energy among the computed polymorphs (eV/atom) = 0.064
- M_tot (μB per formula unit) = 0.00

a b c (Å): 3.9770 3.9770 11.9990
angles (deg): 90.00 90.00 120.00
Space group R-3m (No. 166, hexagonal axes)
One atom of each set of equivalent atoms:
Tb (0.0000, 0.0000, 0.0000) (multiplicity 3)
H (0.0000, 0.0000, 0.3586) (multiplicity 6)
Pd (0.0000, 0.0000, 0.5000) (multiplicity 3)

=====

(3)
Entry from the Alexandria database: crystalline TbHPd at its relaxed geometry (GGA-PBE).

- V (Å³/cell) = 107
- M_tot (μB per formula unit) = 0.00

a b c (Å): 3.524 3.524 8.602
angles (deg): 90.00 90.00 90.00
Space group I4mm (No. 107)
One atom of each set of equivalent atoms:
Tb (0.000, 0.000, 0.000) (multiplicity 2)
H (0.000, 0.000, 0.457) (multiplicity 2)
Pd (0.000, 0.000, 0.668) (multiplicity 2)

=====

(4)
Entry from the Alexandria database: crystalline TbH6Pd7 at its relaxed geometry (GGA-PBE).

- V (Å³/cell) = 485
- M_tot (μB per formula unit) = 0.00

a b c (Å): 5.0807 5.0807 21.6933
angles (deg): 90.00 90.00 120.00
Space group R3 (No. 146, hexagonal axes)
One atom of each set of equivalent atoms:
Tb (0.0000, 0.0000, 0.0000) (multiplicity 3)
H (0.0025, 0.3403, 0.9197) (multiplicity 9)
H (0.0049, 0.6806, 0.4127) (multiplicity 9)
Pd (0.0000, 0.0000, 0.6664) (multiplicity 3)
Pd (0.0000, 0.6650, 0.8884) (multiplicity 9)
Pd (0.0014, 0.3317, 0.7777) (multiplicity 9)

=====

(5)
Entry from the Alexandria database: crystalline Tb4HPd2 at its relaxed geometry (GGA-PBE).

- V (Å³/cell) = 319
- M_tot (μB per formula unit) = 0.00

a b c (Å): 4.703 4.703 14.429
angles (deg): 90.00 90.00 90.00
Space group I4/mmm (No. 139)
One atom of each set of equivalent atoms:
Tb (0.000, 0.000, 0.187) (multiplicity 4)
Tb (0.000, 0.500, 0.000) (multiplicity 4)
H (0.000, 0.000, 0.000) (multiplicity 2)
Pd (0.000, 0.000, 0.375) (multiplicity 4)

=====

(6)
Entry from the Alexandria database: crystalline TbH5Pd4 at its relaxed geometry (GGA-PBE).

- V (Å³/cell) = 224
- M_tot (μB per formula unit) = 0.00

a b c (Å): 5.537 7.953 5.095
angles (deg): 90.00 90.00 90.00
Space group Pmmn (No. 59, origin choice 2)
One atom of each set of equivalent atoms:
Tb (0.250, 0.250, 0.168) (multiplicity 2)
H (0.021, 0.577, 0.151) (multiplicity 8)
H (0.250, 0.750, 0.637) (multiplicity 2)
Pd (0.010, 0.750, 0.367) (multiplicity 4)
Pd (0.250, 0.562, 0.864) (multiplicity 4)

=====

Q: Which E values were calculated for the entries above? A: -4.751 -4.675 -4.831 -4.627 -5.134 -4.470, in eV/atom.